1.
A PBEsol-optimized structure of Mn2AlCr, computed with SCAN.

## Properties
For the formation energy, the calculation gives -208 meV/atom. The calculation puts the theoretical density at 6.9 Mg/m³.

Lattice parameters (Å, degrees): 2.810 2.810 5.732 90.00 90.00 90.00
Space group P4/mmm (No. 123)
Asymmetric unit:
Mn 0.000 0.000 0.232 [2 per cell]
Al 0.500 0.500 0.500 [1 per cell]
Cr 0.500 0.500 0.000 [1 per cell]

***

2.
A PBEsol-optimized structure of InIr3Pd, computed with SCAN.

## Properties
For the formation energy, the calculation gives 1964 meV/atom. The calculation puts the theoretical density at 12.9 Mg/m³.

Lattice parameters (Å, degrees): 4.687 4.687 4.687 90.00 90.00 90.00
Space group Pm-3m (No. 221)
Asymmetric unit:
In 0.000 0.000 0.000 [1 per cell]
Ir 0.000 0.500 0.500 [3 per cell]
Pd 0.500 0.500 0.500 [1 per cell]

***

3.
A PBEsol-optimized structure of Be2AgP, computed with SCAN.

## Properties
For the formation energy, the calculation gives 231 meV/atom. The calculation puts the theoretical density at 5.2 Mg/m³.

Lattice parameters (Å, degrees): 2.713 3.323 5.529 90.00 90.00 90.00
Space group Pmm2 (No. 25)
Asymmetric unit:
Be 0.000 0.000 0.000 [1 per cell]
Be 0.500 0.500 0.219 [1 per cell]
Ag 0.500 0.500 0.776 [1 per cell]
P 0.000 0.000 0.390 [1 per cell]

***

4.
A PBEsol-optimized structure of KCd2Rh, computed with SCAN.

## Properties
For the formation energy, the calculation gives 391 meV/atom. The calculation puts the theoretical density at 7.4 Mg/m³.

Lattice parameters (Å, degrees): 5.177 3.104 5.577 90.00 113.50 90.00
Space group P2/m (No. 10)
Asymmetric unit:
K 0.000 0.000 0.000 [1 per cell]
Cd 0.500 0.000 0.500 [1 per cell]
Cd 0.500 0.500 0.000 [1 per cell]
Rh 0.000 0.500 0.500 [1 per cell]

***

5.
A PBEsol-optimized structure of Mg2MnBeB, computed with SCAN.

## Properties
For the formation energy, the calculation gives 1537 meV/atom. The calculation puts the theoretical density at 2.1 Mg/m³.

Lattice parameters (Å, degrees): 4.936 4.936 4.013 90.00 90.00 90.00
Space group P4/mmm (No. 123)
Asymmetric unit:
Mg 0.000 0.500 0.000 [2 per cell]
Mn 0.000 0.000 0.000 [1 per cell]
Be 0.000 0.000 0.500 [1 per cell]
B 0.500 0.500 0.500 [1 per cell]

***

6.
A PBEsol-optimized structure of SrTaMo, computed with SCAN.

## Properties
For the formation energy, the calculation gives 1632 meV/atom. The calculation puts the theoretical density at 8.7 Mg/m³.

Lattice parameters (Å, degrees): 6.538 6.538 6.538 90.00 90.00 90.00
Space group F-43m (No. 216)
Asymmetric unit:
Sr 0.000 0.000 0.000 [4 per cell]
Ta 0.250 0.250 0.750 [4 per cell]
Mo 0.000 0.000 0.500 [4 per cell]

***

7.
A PBEsol-optimized structure of Na2AsPH8O10, computed with SCAN.

## Properties
The total energy comes out at -324.84 eV/cell. The calculation puts the theoretical density at 2.5 Mg/m³.

Lattice parameters (Å, degrees): 5.067 10.250 8.257 90.00 90.17 90.00
Space group P2_1 (No. 4)
Asymmetric unit:
Na 0.178 0.000 0.401 [2 per cell]
Na 0.315 0.674 0.907 [2 per cell]
As 0.326 0.251 0.695 [2 per cell]
P 0.159 0.428 0.196 [2 per cell]
H 0.069 0.677 0.229 [2 per cell]
H 0.105 0.746 0.622 [2 per cell]
H 0.193 0.034 0.038 [2 per cell]
H 0.228 0.296 0.991 [2 per cell]
H 0.265 0.392 0.483 [2 per cell]
H 0.304 0.643 0.547 [2 per cell]
H 0.397 0.934 0.112 [2 per cell]
H 0.464 0.000 0.721 [2 per cell]
O 0.018 0.758 0.299 [2 per cell]
O 0.047 0.404 0.366 [2 per cell]
O 0.068 0.556 0.119 [2 per cell]
O 0.084 0.310 0.085 [2 per cell]
O 0.174 0.655 0.635 [2 per cell]
O 0.322 0.023 0.128 [2 per cell]
O 0.406 0.385 0.577 [2 per cell]
O 0.434 0.112 0.605 [2 per cell]
O 0.444 0.279 0.884 [2 per cell]
O 0.471 0.423 0.205 [2 per cell]

***

8.
A PBEsol-optimized structure of HfZn3Re, computed with SCAN.

## Properties
For the formation energy, the calculation gives 921 meV/atom. The calculation puts the theoretical density at 9.5 Mg/m³.

Lattice parameters (Å, degrees): 4.614 4.614 4.614 90.00 90.00 90.00
Space group Pm-3m (No. 221)
Asymmetric unit:
Hf 0.000 0.000 0.000 [1 per cell]
Zn 0.000 0.500 0.500 [3 per cell]
Re 0.500 0.500 0.500 [1 per cell]